# UMnTl2Se6

UMnTl2Se6 after structural relaxation (PBE, Alexandria).

a b c (Å): 7.115 7.116 7.116
angles (deg): 61.92 61.92 61.96
Positions (direct):
U 0.000 0.000 0.000
Mn 0.500 0.500 0.500
Tl 0.242 0.241 0.242
Tl 0.758 0.759 0.758
Se 0.186 0.331 0.731
Se 0.269 0.813 0.670
Se 0.330 0.732 0.187
Se 0.670 0.268 0.813
Se 0.731 0.187 0.330
Se 0.814 0.669 0.269

Calculated values
The calculation puts the raw total energy at -51.10 eV for the cell shown. As for the volume: 265.8 Å³/cell. The value obtained for the raw formation energy is -0.50 eV per atom.

# Tm4RuPb2

Tm4RuPb2 after structural relaxation (PBE, Alexandria).

a b c (Å): 7.336 6.394 8.487
angles (deg): 90.00 107.84 90.00
Positions (direct):
Tm 0.124 0.003 0.291
Tm 0.124 0.497 0.291
Tm 0.285 0.750 0.663
Tm 0.313 0.250 0.908
Tm 0.687 0.750 0.092
Tm 0.715 0.250 0.337
Tm 0.876 0.503 0.709
Tm 0.876 0.997 0.709
Ru 0.087 0.250 0.571
Ru 0.913 0.750 0.429
Pb 0.215 0.750 0.999
Pb 0.469 0.250 0.578
Pb 0.531 0.750 0.422
Pb 0.785 0.250 0.001

Calculated values
The calculation puts the raw total energy at -74.41 eV for the cell shown. As for the volume: 378.9 Å³/cell. Its polymorph energy (0 for the lowest one) is 0.0542 eV/atom. The formation energy comes out at -375 meV/atom.

# PrEr3N4

PrEr3N4 after structural relaxation (PBE, Alexandria).

a b c (Å): 6.057 7.005 6.055
angles (deg): 90.00 109.47 90.00
Positions (direct):
Pr 0.000 0.127 0.250
Pr 0.000 0.873 0.750
Er 0.000 0.377 0.750
Er 0.000 0.623 0.250
Er 0.500 0.131 0.750
Er 0.500 0.376 0.250
Er 0.500 0.624 0.750
Er 0.500 0.869 0.250
N 0.253 0.380 0.508
N 0.253 0.620 0.008
N 0.262 0.136 0.997
N 0.262 0.864 0.497
N 0.738 0.136 0.503
N 0.738 0.864 0.003
N 0.747 0.380 0.992
N 0.747 0.620 0.492

Calculated values
The calculation puts the raw total energy at -129.44 eV for the cell shown. As for the volume: 242.2 Å³/cell. The value obtained for the raw formation energy is -1.62 eV per atom.

# Hg2H4I3

Hg2H4I3 after structural relaxation (PBE, Alexandria).

a b c (Å): 8.463 8.463 7.137
angles (deg): 111.85 111.85 33.67
Positions (direct):
Hg 0.190 0.190 0.214
Hg 0.810 0.810 0.786
H 0.212 0.212 0.009
H 0.461 0.461 0.720
H 0.539 0.539 0.280
H 0.788 0.788 0.991
I 0.140 0.140 0.533
I 0.500 0.500 0.000
I 0.860 0.860 0.467

Calculated values
The calculation puts the raw total energy at -16.53 eV for the cell shown. As for the volume: 261.1 Å³/cell.

# FeAg2Sb

FeAg2Sb after structural relaxation (PBE, Alexandria).

a b c (Å): 3.340 3.353 6.483
angles (deg): 90.00 90.00 90.00
Positions (direct):
Fe 0.000 0.000 0.000
Ag 0.000 0.000 0.509
Ag 0.500 0.500 0.752
Sb 0.500 0.500 0.197

Calculated values
The calculation puts the raw total energy at -17.21 eV for the cell shown. As for the volume: 72.6 Å³/cell. The value obtained for the raw formation energy is 0.27 eV per atom.

# Sr2GaHIr

Sr2GaHIr after structural relaxation (PBE, Alexandria).

a b c (Å): 5.313 5.313 3.764
angles (deg): 90.00 90.00 90.00
Positions (direct):
Sr 0.000 0.500 0.000
Sr 0.500 0.000 0.000
Ga 0.000 0.000 0.500
H 0.500 0.500 0.000
Ir 0.500 0.500 0.500

Calculated values
The calculation puts the raw total energy at -19.89 eV for the cell shown. As for the volume: 106.3 Å³/cell.

# Li2CuSiO4

Li2CuSiO4 after structural relaxation (PBE, Alexandria).

a b c (Å): 10.867 4.974 6.290
angles (deg): 90.00 90.00 90.00
Positions (direct):
Li 0.089 0.204 0.000
Li 0.168 0.704 0.247
Li 0.332 0.204 0.747
Li 0.411 0.704 0.500
Li 0.589 0.296 0.000
Li 0.668 0.796 0.247
Li 0.832 0.296 0.747
Li 0.911 0.796 0.500
Cu 0.083 0.217 0.500
Cu 0.417 0.717 0.000
Cu 0.583 0.283 0.500
Cu 0.917 0.783 0.000
Si 0.167 0.697 0.745
Si 0.333 0.197 0.245
Si 0.667 0.803 0.745
Si 0.833 0.303 0.245
O 0.094 0.799 0.530
O 0.095 0.804 0.960
O 0.167 0.363 0.746
O 0.189 0.307 0.248
O 0.311 0.807 0.748
O 0.333 0.863 0.246
O 0.405 0.304 0.460
O 0.406 0.299 0.030
O 0.594 0.701 0.530
O 0.595 0.696 0.960
O 0.667 0.137 0.746
O 0.689 0.193 0.248
O 0.811 0.693 0.748
O 0.833 0.637 0.246
O 0.905 0.196 0.460
O 0.906 0.201 0.030

Calculated values
The calculation puts the raw total energy at -195.91 eV for the cell shown. As for the volume: 339.9 Å³/cell. Its polymorph energy (0 for the lowest one) is 0.0147 eV/atom. The value obtained for the raw formation energy is -1.97 eV per atom.

# Tb2OsSe

Tb2OsSe after structural relaxation (PBE, Alexandria).

a b c (Å): 3.470 3.470 7.252
angles (deg): 90.00 90.00 90.00
Positions (direct):
Tb 0.000 0.000 0.233
Tb 0.000 0.000 0.767
Os 0.500 0.500 0.000
Se 0.500 0.500 0.500

Calculated values
The calculation puts the raw total energy at -27.35 eV for the cell shown. As for the volume: 87.3 Å³/cell. The value obtained for the raw formation energy is -0.84 eV per atom.

# Sr3Ta

Sr3Ta after structural relaxation (PBE, Alexandria).

a b c (Å): 7.638 7.638 6.058
angles (deg): 90.00 90.00 120.00
Positions (direct):
Sr 0.176 0.352 0.250
Sr 0.176 0.824 0.250
Sr 0.352 0.176 0.750
Sr 0.648 0.824 0.250
Sr 0.824 0.176 0.750
Sr 0.824 0.648 0.750
Ta 0.333 0.667 0.750
Ta 0.667 0.333 0.250

Calculated values
The calculation puts the raw total energy at -26.78 eV for the cell shown. As for the volume: 306.1 Å³/cell. Its polymorph energy (0 for the lowest one) is 0.3963 eV/atom. The formation energy comes out at 877 meV/atom.

# BaMg4AgHg2

BaMg4AgHg2 after structural relaxation (PBE, Alexandria).

a b c (Å): 10.638 10.638 10.638
angles (deg): 26.31 26.31 26.31
Positions (direct):
Ba 0.000 0.000 0.000
Mg 0.138 0.138 0.138
Mg 0.413 0.413 0.413
Mg 0.587 0.587 0.587
Mg 0.862 0.862 0.862
Ag 0.500 0.500 0.500
Hg 0.250 0.250 0.250
Hg 0.750 0.750 0.750

Calculated values
The calculation puts the raw total energy at -13.66 eV for the cell shown. As for the volume: 208.4 Å³/cell. The formation energy comes out at -238 meV/atom.

# KVCd

KVCd after structural relaxation (PBE, Alexandria).

a b c (Å): 4.533 7.277 9.011
angles (deg): 90.00 90.00 90.00
Positions (direct):
K 0.000 0.250 0.137
K 0.000 0.750 0.863
K 0.500 0.250 0.363
K 0.500 0.750 0.637
V 0.000 0.250 0.752
V 0.000 0.750 0.248
V 0.500 0.250 0.748
V 0.500 0.750 0.252
Cd 0.000 0.000 0.500
Cd 0.000 0.500 0.500
Cd 0.500 0.000 0.000
Cd 0.500 0.500 0.000

Calculated values
The calculation puts the raw total energy at -36.17 eV for the cell shown. As for the volume: 297.2 Å³/cell. Its polymorph energy (0 for the lowest one) is 0.3792 eV/atom. The formation energy comes out at 696 meV/atom.

# LiZnCd14

LiZnCd14 after structural relaxation (PBE, Alexandria).

a b c (Å): 6.395 6.395 8.491
angles (deg): 90.00 90.00 90.00
Positions (direct):
Li 0.000 0.000 0.000
Zn 0.500 0.500 0.000
Cd 0.000 0.000 0.500
Cd 0.000 0.500 0.000
Cd 0.000 0.500 0.500
Cd 0.249 0.249 0.241
Cd 0.249 0.249 0.759
Cd 0.249 0.751 0.241
Cd 0.249 0.751 0.759
Cd 0.500 0.000 0.000
Cd 0.500 0.000 0.500
Cd 0.500 0.500 0.500
Cd 0.751 0.249 0.241
Cd 0.751 0.249 0.759
Cd 0.751 0.751 0.241
Cd 0.751 0.751 0.759

Calculated values
The calculation puts the raw total energy at -16.44 eV for the cell shown. As for the volume: 347.3 Å³/cell. The formation energy comes out at -27 meV/atom.

# ThNp2OsC4

ThNp2OsC4 after structural relaxation (PBE, Alexandria).

a b c (Å): 6.082 6.082 11.719
angles (deg): 90.00 90.00 145.89
Positions (direct):
Th 0.110 0.890 0.750
Th 0.890 0.110 0.250
Np 0.371 0.629 0.543
Np 0.371 0.629 0.957
Np 0.629 0.371 0.043
Np 0.629 0.371 0.457
Os 0.149 0.851 0.250
Os 0.851 0.149 0.750
C 0.000 0.000 0.000
C 0.000 0.000 0.500
C 0.259 0.741 0.119
C 0.259 0.741 0.381
C 0.442 0.558 0.750
C 0.558 0.442 0.250
C 0.741 0.259 0.619
C 0.741 0.259 0.881

Calculated values
The calculation puts the raw total energy at -161.86 eV for the cell shown. As for the volume: 243.1 Å³/cell. The formation energy comes out at 62 meV/atom.

# TbPaBe2

TbPaBe2 after structural relaxation (PBE, Alexandria).

a b c (Å): 3.326 3.326 25.355
angles (deg): 90.00 90.00 120.00
Positions (direct):
Tb 0.000 0.000 0.000
Tb 0.333 0.667 0.667
Tb 0.667 0.333 0.333
Pa 0.000 0.000 0.500
Pa 0.333 0.667 0.167
Pa 0.667 0.333 0.833
Be 0.000 0.000 0.250
Be 0.000 0.000 0.750
Be 0.333 0.667 0.417
Be 0.333 0.667 0.916
Be 0.667 0.333 0.084
Be 0.667 0.333 0.583

Calculated values
The calculation puts the raw total energy at -58.65 eV for the cell shown. As for the volume: 242.9 Å³/cell. The formation energy comes out at 507 meV/atom.

# LiTiAl

LiTiAl after structural relaxation (PBE, Alexandria).

a b c (Å): 11.341 2.933 6.240
angles (deg): 90.00 107.76 90.00
Positions (direct):
Li 0.159 0.000 0.338
Li 0.341 0.500 0.662
Li 0.659 0.500 0.338
Li 0.841 0.000 0.662
Ti 0.165 0.000 0.845
Ti 0.335 0.500 0.155
Ti 0.665 0.500 0.845
Ti 0.835 0.000 0.155
Al 0.000 0.500 0.000
Al 0.000 0.500 0.500
Al 0.500 0.000 0.000
Al 0.500 0.000 0.500

Calculated values
The calculation puts the raw total energy at -55.38 eV for the cell shown. As for the volume: 197.7 Å³/cell. Its polymorph energy (0 for the lowest one) is 0.1093 eV/atom. The formation energy comes out at -98 meV/atom.

# TlAuSe2

TlAuSe2 after structural relaxation (PBE, Alexandria).

a b c (Å): 12.394 3.834 5.313
angles (deg): 90.00 90.35 90.00
Positions (direct):
Tl 0.000 0.000 0.000
Tl 0.500 0.500 0.000
Au 0.283 0.500 0.500
Au 0.783 0.000 0.500
Se 0.151 0.000 0.502
Se 0.416 0.000 0.499
Se 0.651 0.500 0.502
Se 0.916 0.500 0.499

Calculated values
The calculation puts the raw total energy at -26.84 eV for the cell shown. As for the volume: 252.5 Å³/cell. The value obtained for the raw formation energy is -0.20 eV per atom.

# YFeRe3

YFeRe3 after structural relaxation (PBE, Alexandria).

a b c (Å): 4.519 4.519 4.519
angles (deg): 90.00 90.00 90.00
Positions (direct):
Y 0.000 0.000 0.000
Fe 0.500 0.500 0.500
Re 0.000 0.500 0.500
Re 0.500 0.000 0.500
Re 0.500 0.500 0.000

Calculated values
The calculation puts the raw total energy at -47.35 eV for the cell shown. As for the volume: 92.3 Å³/cell. The formation energy comes out at 985 meV/atom.

# Tb5PmHo2Mg

Tb5PmHo2Mg after structural relaxation (PBE, Alexandria).

a b c (Å): 10.363 10.363 10.589
angles (deg): 90.00 90.00 149.62
Positions (direct):
Tb 0.001 0.999 0.500
Tb 0.115 0.885 0.751
Tb 0.209 0.791 0.453
Tb 0.210 0.790 0.049
Tb 0.486 0.514 0.751
Tb 0.514 0.486 0.251
Tb 0.790 0.210 0.549
Tb 0.791 0.209 0.953
Tb 0.885 0.115 0.251
Tb 0.999 0.001 0.000
Pm 0.293 0.707 0.751
Pm 0.707 0.293 0.251
Ho 0.386 0.614 0.039
Ho 0.386 0.614 0.463
Ho 0.614 0.386 0.539
Ho 0.614 0.386 0.963
Mg 0.095 0.905 0.249
Mg 0.905 0.095 0.749

Calculated values
The calculation puts the raw total energy at -75.43 eV for the cell shown. As for the volume: 575.0 Å³/cell. The formation energy comes out at 104 meV/atom.

# Pm3HoRu3

Pm3HoRu3 after structural relaxation (PBE, Alexandria).

a b c (Å): 6.940 6.940 6.846
angles (deg): 90.03 90.03 88.56
Positions (direct):
Pm 0.239 0.761 0.000
Pm 0.251 0.251 0.499
Pm 0.253 0.747 0.500
Pm 0.747 0.253 0.500
Pm 0.749 0.749 0.501
Pm 0.761 0.239 0.000
Ho 0.268 0.268 0.000
Ho 0.732 0.732 0.000
Ru 0.000 0.500 0.246
Ru 0.000 0.500 0.754
Ru 0.500 0.000 0.246
Ru 0.500 0.000 0.754
Ru 0.500 0.500 0.248
Ru 0.500 0.500 0.752

Calculated values
The calculation puts the raw total energy at -96.34 eV for the cell shown. As for the volume: 329.7 Å³/cell. The formation energy comes out at -216 meV/atom.

# CaLaMg2Os

CaLaMg2Os after structural relaxation (PBE, Alexandria).

a b c (Å): 5.311 5.311 5.204
angles (deg): 90.00 90.00 90.00
Positions (direct):
Ca 0.000 0.000 0.000
La 0.500 0.500 0.000
Mg 0.000 0.500 0.500
Mg 0.500 0.000 0.500
Os 0.500 0.500 0.500

Calculated values
The calculation puts the raw total energy at -21.01 eV for the cell shown. As for the volume: 146.8 Å³/cell. The formation energy comes out at 68 meV/atom.